[1]
VASP calculation (PBE) on crystalline Sm2Er at its relaxed geometry.

## Properties
Final energy ... -13.9 eV/cell
Energy above the lowest structure with this stoichiometry ... 0 meV per atom
ρ ... 7.93 Mg/m³
Density of states at the Fermi level ... 4.16 states/eV/f.u.

Cell and atoms, written as POSCAR:
```
Sm2Er
1.0
-1.794 1.794 7.611
1.794 -1.794 7.611
1.794 1.794 -7.611
Sm Er
2 1
direct
0.165 0.165 0.000
0.835 0.835 0.000
0.500 0.500 0.000
```



[2]
VASP calculation (PBE) on crystalline Sm4Er5 at its relaxed geometry.

## Properties
Final energy ... -41.5 eV/cell
Energy above the lowest structure with this stoichiometry ... 0 meV per atom
ρ ... 8.32 Mg/m³
Density of states at the Fermi level ... 12.87 states/eV/f.u.

Cell and atoms, written as POSCAR:
```
Sm4Er5
1.0
-5.345 5.345 2.510
5.345 -5.345 2.510
5.345 5.345 -2.510
Sm Er
4 5
direct
0.167 0.167 0.333
0.167 0.833 0.000
0.833 0.167 0.000
0.833 0.833 0.667
0.165 0.500 0.665
0.500 0.165 0.665
0.500 0.500 0.000
0.500 0.835 0.335
0.835 0.500 0.335
```



Number 1: DFT formation energy 0.021 eV per atom. Number 2: DFT formation energy 0.020 eV per atom.